No. 1
VASP calculation (GGA-PBE) on a geometry-optimized Zn3Sb2 structure.

- SG: C2/m, No. 12
- Theoretical density: 5.62 Mg/m³
- Uncorrected energy: -2.424 eV/atom

a = 8.6337 Å, b = 8.6337 Å, c = 7.7002 Å
α = 114.50°, β = 114.50°, γ = 30.10°
Sites, in units of the cell vectors:
1 Zn 0.0398 0.0398 0.3818
2 Zn 0.2112 0.2112 0.5517
3 Zn 0.3634 0.3634 0.0236
4 Zn 0.6366 0.6366 0.9764
5 Zn 0.7888 0.7888 0.4483
6 Zn 0.9602 0.9602 0.6182
7 Sb 0.1379 0.1379 0.8041
8 Sb 0.3888 0.3888 0.7080
9 Sb 0.6112 0.6112 0.2920
10 Sb 0.8621 0.8621 0.1959

***

No. 2
VASP calculation (GGA-PBE) on a geometry-optimized GdThU structure.

- SG: F-43m, No. 216
- Theoretical density: 10.25 Mg/m³
- Formation energy: 1.162 eV per atom
- Uncorrected energy: -6.626 eV/atom

a = 5.2379 Å, b = 5.2379 Å, c = 5.2379 Å
α = 60.00°, β = 60.00°, γ = 60.00°
Sites, in units of the cell vectors:
1 Gd 0.0000 0.0000 0.0000
2 Th 0.5000 0.5000 0.5000
3 U 0.2500 0.2500 0.2500

***

No. 3
VASP calculation (GGA-PBE) on a geometry-optimized TmCdNi structure.

- SG: F-43m, No. 216
- Theoretical density: 8.81 Mg/m³
- Formation energy: -0.246 eV per atom
- Uncorrected energy: -3.892 eV/atom

a = 4.4925 Å, b = 4.4925 Å, c = 4.4925 Å
α = 60.00°, β = 60.00°, γ = 60.00°
Sites, in units of the cell vectors:
1 Tm 0.0000 0.0000 0.0000
2 Cd 0.5000 0.5000 0.5000
3 Ni 0.7500 0.7500 0.7500

***

No. 4
VASP calculation (GGA-PBE) on a geometry-optimized LiHf structure.

- Polymorph energy (0 for the lowest one): 660 meV per atom
- SG: Fm-3m, No. 225
- Theoretical density: 8.10 Mg/m³
- Uncorrected energy: -4.953 eV/atom

a = 3.7745 Å, b = 3.7745 Å, c = 3.7745 Å
α = 60.00°, β = 60.00°, γ = 60.00°
Sites, in units of the cell vectors:
1 Li 0.0000 0.0000 0.0000
2 Hf 0.5000 0.5000 0.5000

***

No. 5
VASP calculation (GGA-PBE) on a geometry-optimized Mg2Mo structure.

- Polymorph energy (0 for the lowest one): 97 meV per atom
- SG: Pmmn, No. 59
- Theoretical density: 4.38 Mg/m³
- Uncorrected energy: -4.314 eV/atom

a = 4.6877 Å, b = 8.9583 Å, c = 5.2208 Å
α = 90.00°, β = 90.00°, γ = 90.00°
Sites, in units of the cell vectors:
1 Mg 0.2500 0.0737 0.0821
2 Mg 0.2500 0.2500 0.5595
3 Mg 0.2500 0.4263 0.0821
4 Mg 0.2500 0.7500 0.0628
5 Mg 0.7500 0.2500 0.9372
6 Mg 0.7500 0.5737 0.9179
7 Mg 0.7500 0.7500 0.4405
8 Mg 0.7500 0.9263 0.9179
9 Mo 0.2500 0.5762 0.5558
10 Mo 0.2500 0.9238 0.5558
11 Mo 0.7500 0.0762 0.4442
12 Mo 0.7500 0.4238 0.4442

***

No. 6
VASP calculation (GGA-PBE) on a geometry-optimized ZrFeGeOs structure.

- Polymorph energy (0 for the lowest one): 0 meV per atom
- SG: F-43m, No. 216
- Theoretical density: 11.40 Mg/m³
- Uncorrected energy: -8.410 eV/atom

a = 4.3866 Å, b = 4.3866 Å, c = 4.3866 Å
α = 60.00°, β = 60.00°, γ = 60.00°
Sites, in units of the cell vectors:
1 Zr 0.0000 0.0000 0.0000
2 Fe 0.7500 0.7500 0.7500
3 Ge 0.5000 0.5000 0.5000
4 Os 0.2500 0.2500 0.2500

***

No. 7
VASP calculation (GGA-PBE) on a geometry-optimized GaW4N3 structure.

- SG: P6_3/mmc, No. 194
- Theoretical density: 15.28 Mg/m³
- Uncorrected energy: -9.868 eV/atom

a = 2.8293 Å, b = 2.8293 Å, c = 26.5579 Å
α = 90.00°, β = 90.00°, γ = 120.00°
Sites, in units of the cell vectors:
1 Ga 0.3333 0.6667 0.2500
2 Ga 0.6667 0.3333 0.7500
3 W 0.0000 0.0000 0.1668
4 W 0.0000 0.0000 0.3332
5 W 0.0000 0.0000 0.6668
6 W 0.0000 0.0000 0.8332
7 W 0.3333 0.6667 0.0560
8 W 0.3333 0.6667 0.4440
9 W 0.6667 0.3333 0.5560
10 W 0.6667 0.3333 0.9440
11 N 0.0000 0.0000 0.0000
12 N 0.0000 0.0000 0.5000
13 N 0.3333 0.6667 0.6134
14 N 0.3333 0.6667 0.8866
15 N 0.6667 0.3333 0.1134
16 N 0.6667 0.3333 0.3866

***

No. 8
VASP calculation (GGA-PBE) on a geometry-optimized GdIr structure.

- SG: P-6m2, No. 187
- Theoretical density: 12.35 Mg/m³
- Formation energy: -0.396 eV per atom
- Uncorrected energy: -7.151 eV/atom

a = 3.9565 Å, b = 3.9565 Å, c = 3.4667 Å
α = 90.00°, β = 90.00°, γ = 120.00°
Sites, in units of the cell vectors:
1 Gd 0.0000 0.0000 0.0000
2 Ir 0.6667 0.3333 0.5000

***

No. 9
VASP calculation (GGA-PBE) on a geometry-optimized NdPbNO structure.

- Polymorph energy (0 for the lowest one): 0 meV per atom
- SG: Pmc2_1, No. 26
- Theoretical density: 7.40 Mg/m³
- Uncorrected energy: -6.661 eV/atom

a = 3.7422 Å, b = 7.3470 Å, c = 6.2296 Å
α = 90.00°, β = 90.00°, γ = 90.00°
Sites, in units of the cell vectors:
1 Nd 0.0000 0.1323 0.0000
2 Nd 0.0000 0.8677 0.5000
3 Pb 0.5000 0.3437 0.4918
4 Pb 0.5000 0.6563 0.9918
5 N 0.0000 0.1716 0.3821
6 N 0.0000 0.8284 0.8821
7 O 0.5000 0.2193 0.8361
8 O 0.5000 0.7807 0.3361

***

No. 10
VASP calculation (GGA-PBE) on a geometry-optimized GdErSnC structure.

- SG: P-3m1, No. 164
- Theoretical density: 8.36 Mg/m³
- Uncorrected energy: -6.140 eV/atom

a = 3.6202 Å, b = 3.6202 Å, c = 15.9294 Å
α = 90.00°, β = 90.00°, γ = 120.00°
Sites, in units of the cell vectors:
1 Gd 0.3333 0.6667 0.4138
2 Gd 0.6667 0.3333 0.5862
3 Er 0.3333 0.6667 0.0826
4 Er 0.6667 0.3333 0.9174
5 Sn 0.3333 0.6667 0.7540
6 Sn 0.6667 0.3333 0.2460
7 C 0.0000 0.0000 0.0000
8 C 0.0000 0.0000 0.5000

***

No. 11
VASP calculation (GGA-PBE) on a geometry-optimized HoLuGa4Ir2 structure.

- SG: Amm2, No. 38
- Theoretical density: 11.41 Mg/m³
- Uncorrected energy: -5.618 eV/atom

a = 6.8728 Å, b = 5.4301 Å, c = 5.4301 Å
α = 46.09°, β = 90.00°, γ = 90.00°
Sites, in units of the cell vectors:
1 Ho 0.0000 0.0000 0.0000
2 Lu 0.5000 0.8405 0.8405
3 Ga 0.1974 0.2837 0.2837
4 Ga 0.3043 0.5578 0.5578
5 Ga 0.6957 0.5578 0.5578
6 Ga 0.8026 0.2837 0.2837
7 Ir 0.0000 0.7133 0.7133
8 Ir 0.5000 0.1272 0.1272

***

No. 12
VASP calculation (GGA-PBE) on a geometry-optimized BaYAgTe2S structure.

- SG: Cmcm, No. 63
- Theoretical density: 5.78 Mg/m³
- Uncorrected energy: -4.983 eV/atom

a = 7.8013 Å, b = 7.8013 Å, c = 10.8207 Å
α = 90.00°, β = 90.00°, γ = 147.20°
Sites, in units of the cell vectors:
1 Ba 0.2288 0.7712 0.7500
2 Ba 0.7712 0.2288 0.2500
3 Y 0.5000 0.5000 0.0000
4 Y 0.5000 0.5000 0.5000
5 Ag 0.0221 0.9779 0.2500
6 Ag 0.9779 0.0221 0.7500
7 Te 0.1421 0.8579 0.0524
8 Te 0.1421 0.8579 0.4476
9 Te 0.8579 0.1421 0.5524
10 Te 0.8579 0.1421 0.9476
11 S 0.4309 0.5691 0.2500
12 S 0.5691 0.4309 0.7500